Entry from Alexandria via LeMat-Bulk: a geometry-optimized ScNbCoRu structure (PBE-GGA).

Cell: 3.1451 3.1451 6.3674 Å, 90.00 90.00 90.00°
Closest atoms and distances in Å follow each position.
Space group P4mm (No. 99)
Symmetry-distinct sites (fractional):
Sc: 0.0000 0.0000 0.0000  4 Co 2.77, 4 Ru 2.80
Nb: 0.0000 0.0000 0.4890  4 Co 2.66, 4 Ru 2.71
Co: 0.5000 0.5000 0.2584  4 Nb 2.66, 4 Sc 2.77
Ru: 0.5000 0.5000 0.7324  4 Nb 2.71, 4 Sc 2.80, 1 Co 3.02

Values from the calculation:
Total energy (eV per atom): -8.548
Crystal system: tetragonal
ΔH_f (0 K) (meV/atom): -352